VASP calculation (PBE) on a relaxed structure of BiBrN2.

Cell and atoms, written as POSCAR:
```
BiBrN2
1.0
1.7545 -12.7740 0.0000
1.7545 12.7740 0.0000
-0.0529 0.0000 6.5242
Bi Br N
2 2 4
Direct
0.0000 0.0000 0.0000
0.0000 0.0000 0.5000
0.0931 0.9069 0.7500
0.9069 0.0931 0.2500
0.1989 0.7872 0.3348
0.2128 0.8011 0.1652
0.7872 0.1989 0.8348
0.8011 0.2128 0.6652
```

- M_tot (μB per atom) = 0.000
- formation energy from raw total energies (meV/atom) = -141
- symmetry = No. 15
- E above lowest polymorph (meV per atom) = 0



VASP calculation (PBE) on a relaxed structure of Bi3BrN.

Cell and atoms, written as POSCAR:
```
Bi3BrN
1.0
5.0654 0.0000 0.0000
0.0000 5.0654 0.0000
0.0000 0.0000 5.0654
Bi Br N
3 1 1
Direct
0.0000 0.0000 0.5000
0.0000 0.5000 0.0000
0.5000 0.0000 0.0000
0.5000 0.5000 0.5000
0.0000 0.0000 0.0000
```

- M_tot (μB per atom) = 0.000
- formation energy from raw total energies (meV/atom) = 562
- symmetry = No. 221
- E above lowest polymorph (meV per atom) = 0



VASP calculation (PBE) on a relaxed structure of BiBr2N2.

Cell and atoms, written as POSCAR:
```
BiBr2N2
1.0
7.7722 0.0000 0.0000
0.0000 7.7722 0.0000
0.0000 0.0000 3.6373
Bi Br N
2 4 4
Direct
0.0000 0.0000 0.0000
0.5000 0.5000 0.0000
0.1573 0.3427 0.0000
0.3427 0.8427 0.0000
0.6573 0.1573 0.0000
0.8427 0.6573 0.0000
0.2432 0.2568 0.5000
0.2568 0.7568 0.5000
0.7432 0.2432 0.5000
0.7568 0.7432 0.5000
```

- M_tot (μB per atom) = 0.000
- formation energy from raw total energies (meV/atom) = 1664
- symmetry = No. 127
- E above lowest polymorph (meV per atom) = 1924



VASP calculation (PBE) on a relaxed structure of BiBrN.

Cell and atoms, written as POSCAR:
```
BiBrN
1.0
6.4300 0.0000 0.0000
0.0000 9.4377 0.0000
-4.6709 0.0000 7.2762
Bi Br N
4 4 4
Direct
0.2449 0.9997 0.3534
0.2449 0.5003 0.8534
0.7551 0.0003 0.6466
0.7551 0.4997 0.1466
0.1334 0.1976 0.5231
0.1334 0.3024 0.0231
0.8666 0.6976 0.9769
0.8666 0.8024 0.4769
0.4367 0.5241 0.5181
0.4367 0.9759 0.0181
0.5633 0.0241 0.9819
0.5633 0.4759 0.4819
```

- M_tot (μB per atom) = 0.000
- formation energy from raw total energies (meV/atom) = -78
- symmetry = No. 14



VASP calculation (PBE) on a relaxed structure of BiBr3N.

Cell and atoms, written as POSCAR:
```
BiBr3N
1.0
4.8092 0.0000 0.0000
0.0000 4.8092 0.0000
0.0000 0.0000 4.8092
Bi Br N
1 3 1
Direct
0.0000 0.0000 0.0000
0.0000 0.5000 0.5000
0.5000 0.0000 0.5000
0.5000 0.5000 0.0000
0.5000 0.5000 0.5000
```

- M_tot (μB per atom) = 0.000
- formation energy from raw total energies (meV/atom) = 816
- symmetry = No. 221
- E above lowest polymorph (meV per atom) = 339



VASP calculation (PBE) on a relaxed structure of Bi2Br3N2.

Cell and atoms, written as POSCAR:
```
Bi2Br3N2
1.0
6.6419 -1.8885 0.0000
6.6419 1.8885 0.0000
-2.2142 0.0000 7.0864
Bi Br N
2 3 2
Direct
0.2483 0.2483 0.2932
0.7517 0.7517 0.7068
0.0000 0.0000 0.5000
0.3836 0.3836 0.0428
0.6164 0.6164 0.9572
0.1696 0.1696 0.5453
0.8304 0.8304 0.4547
```

- M_tot (μB per atom) = 0.000
- formation energy from raw total energies (meV/atom) = 257
- symmetry = No. 12



VASP calculation (PBE) on a relaxed structure of BiBrN2.

Cell and atoms, written as POSCAR:
```
BiBrN2
1.0
1.6759 0.9676 7.1073
-1.6759 0.9676 7.1073
0.0000 -1.9352 7.1073
Bi Br N
1 1 2
Direct
0.0000 0.0000 0.0000
0.5000 0.5000 0.5000
0.1135 0.1135 0.1135
0.8865 0.8865 0.8865
```

- M_tot (μB per atom) = 0.000
- formation energy from raw total energies (meV/atom) = 1826
- symmetry = No. 166
- E above lowest polymorph (meV per atom) = 1967



VASP calculation (PBE) on a relaxed structure of BiBr2N.

Cell and atoms, written as POSCAR:
```
BiBr2N
1.0
1.8546 1.0707 8.8781
-1.8546 1.0707 8.8781
0.0000 -2.1415 8.8781
Bi Br N
1 2 1
Direct
0.0000 0.0000 0.0000
0.1044 0.1044 0.1044
0.8956 0.8956 0.8956
0.5000 0.5000 0.5000
```

- M_tot (μB per atom) = 0.551
- formation energy from raw total energies (meV/atom) = 1180
- symmetry = No. 166
- E above lowest polymorph (meV per atom) = 648



VASP calculation (PBE) on a relaxed structure of BiBrN3.

Cell and atoms, written as POSCAR:
```
BiBrN3
1.0
4.5221 0.0000 0.0000
0.0000 4.5221 0.0000
0.0000 0.0000 4.5221
Bi Br N
1 1 3
Direct
0.0000 0.0000 0.0000
0.5000 0.5000 0.5000
0.0000 0.0000 0.5000
0.0000 0.5000 0.0000
0.5000 0.0000 0.0000
```

- M_tot (μB per atom) = 1.092
- formation energy from raw total energies (meV/atom) = 2211
- symmetry = No. 221



VASP calculation (PBE) on a relaxed structure of BiBr2N.

Cell and atoms, written as POSCAR:
```
BiBr2N
1.0
-3.2589 3.2589 5.0122
3.2589 -3.2589 5.0122
3.2589 3.2589 -5.0122
Bi Br N
2 4 2
Direct
0.3750 0.6250 0.7500
0.6250 0.3750 0.2500
0.0000 0.0000 0.0000
0.0000 0.0000 0.5000
0.0000 0.5000 0.0000
0.5000 0.0000 0.5000
0.1250 0.8750 0.2500
0.8750 0.1250 0.7500
```

- M_tot (μB per atom) = 0.000
- formation energy from raw total energies (meV/atom) = 1046
- symmetry = No. 141
- E above lowest polymorph (meV per atom) = 514



VASP calculation (PBE) on a relaxed structure of BiBrN2.

Cell and atoms, written as POSCAR:
```
BiBrN2
1.0
0.0000 3.1114 3.1114
3.1114 0.0000 3.1114
3.1114 3.1114 0.0000
Bi Br N
1 1 2
Direct
0.0000 0.0000 0.0000
0.5000 0.5000 0.5000
0.2500 0.2500 0.2500
0.7500 0.7500 0.7500
```

- M_tot (μB per atom) = 0.000
- formation energy from raw total energies (meV/atom) = 1973
- symmetry = No. 225
- E above lowest polymorph (meV per atom) = 2115



VASP calculation (PBE) on a relaxed structure of BiBrN2.

Cell and atoms, written as POSCAR:
```
BiBrN2
1.0
-3.0325 3.0325 4.3429
3.0325 -3.0325 4.3429
3.0325 3.0325 -4.3429
Bi Br N
2 2 4
Direct
0.0000 0.0000 0.0000
0.7500 0.2500 0.5000
0.2500 0.7500 0.5000
0.5000 0.5000 0.0000
0.0813 0.6250 0.9563
0.3750 0.3313 0.4563
0.6687 0.1250 0.0437
0.8750 0.9187 0.5437
```

- M_tot (μB per atom) = 0.000
- formation energy from raw total energies (meV/atom) = 1526
- symmetry = No. 122
- E above lowest polymorph (meV per atom) = 1667



VASP calculation (PBE) on a relaxed structure of BiBr2N.

Cell and atoms, written as POSCAR:
```
BiBr2N
1.0
8.0652 -2.0994 0.0000
8.0652 2.0994 0.0000
-1.5775 0.0000 8.8489
Bi Br N
2 4 2
Direct
0.1301 0.1301 0.2977
0.8699 0.8699 0.7023
0.2441 0.2441 0.7103
0.4959 0.4959 0.7468
0.5041 0.5041 0.2532
0.7559 0.7559 0.2897
0.1198 0.1198 0.0475
0.8802 0.8802 0.9525
```

- M_tot (μB per atom) = 0.500
- formation energy from raw total energies (meV/atom) = 532
- symmetry = No. 12
- E above lowest polymorph (meV per atom) = 0



VASP calculation (PBE) on a relaxed structure of BiBr2N.

Cell and atoms, written as POSCAR:
```
BiBr2N
1.0
0.0000 3.6051 3.6051
3.6051 0.0000 3.6051
3.6051 3.6051 0.0000
Bi Br N
1 2 1
Direct
0.0000 0.0000 0.0000
0.2500 0.2500 0.2500
0.7500 0.7500 0.7500
0.5000 0.5000 0.5000
```

- M_tot (μB per atom) = 0.512
- formation energy from raw total energies (meV/atom) = 986
- symmetry = No. 225
- E above lowest polymorph (meV per atom) = 454



VASP calculation (PBE) on a relaxed structure of BiBrN2.

Cell and atoms, written as POSCAR:
```
BiBrN2
1.0
1.7920 1.0346 6.5047
-1.7920 1.0346 6.5047
0.0000 -2.0693 6.5047
Bi Br N
1 1 2
Direct
0.0000 0.0000 0.0000
0.5000 0.5000 0.5000
0.3913 0.3913 0.3913
0.6087 0.6087 0.6087
```

- M_tot (μB per atom) = 0.000
- formation energy from raw total energies (meV/atom) = 1046
- symmetry = No. 166
- E above lowest polymorph (meV per atom) = 1187



VASP calculation (PBE) on a relaxed structure of BiBr2N2.

Cell and atoms, written as POSCAR:
```
BiBr2N2
1.0
4.5683 -2.0854 0.0000
4.5683 2.0854 0.0000
-0.1119 0.0000 10.0257
Bi Br N
1 2 2
Direct
0.0000 0.0000 0.0000
0.3467 0.3467 0.8521
0.6533 0.6533 0.1479
0.0411 0.0411 0.5414
0.9589 0.9589 0.4586
```

- M_tot (μB per atom) = 0.000
- formation energy from raw total energies (meV/atom) = -260
- symmetry = No. 12
- E above lowest polymorph (meV per atom) = 0



VASP calculation (PBE) on a relaxed structure of BiBrN3.

Cell and atoms, written as POSCAR:
```
BiBrN3
1.0
4.0106 0.0000 0.0000
0.0000 4.0106 0.0000
0.0000 0.0000 4.0106
Bi Br N
1 1 3
Direct
0.0000 0.0000 0.0000
0.5000 0.5000 0.5000
0.0000 0.5000 0.5000
0.5000 0.0000 0.5000
0.5000 0.5000 0.0000
```

- M_tot (μB per atom) = 0.000
- formation energy from raw total energies (meV/atom) = 2175
- symmetry = No. 221



VASP calculation (PBE) on a relaxed structure of BiBr2N2.

Cell and atoms, written as POSCAR:
```
BiBr2N2
1.0
-2.3548 2.3548 4.4047
2.3548 -2.3548 4.4047
2.3548 2.3548 -4.4047
Bi Br N
1 2 2
Direct
0.0000 0.0000 0.0000
0.3135 0.3135 0.0000
0.6865 0.6865 0.0000
0.2500 0.7500 0.5000
0.7500 0.2500 0.5000
```

- M_tot (μB per atom) = 0.000
- formation energy from raw total energies (meV/atom) = 1891
- symmetry = No. 139
- E above lowest polymorph (meV per atom) = 2151



VASP calculation (PBE) on a relaxed structure of BiBr3N.

Cell and atoms, written as POSCAR:
```
BiBr3N
1.0
5.7316 0.0000 0.0000
-2.4964 7.8277 0.0000
-0.0053 -0.0609 8.5341
Bi Br N
2 6 2
Direct
0.0144 0.0026 0.2501
0.9856 0.9974 0.7499
0.0994 0.2533 0.5218
0.0997 0.2532 0.9817
0.4876 0.9462 0.7495
0.5124 0.0538 0.2505
0.9003 0.7468 0.0183
0.9006 0.7467 0.4782
0.3312 0.5703 0.2537
0.6688 0.4297 0.7463
```

- M_tot (μB per atom) = 0.592
- formation energy from raw total energies (meV/atom) = 477
- symmetry = No. 2
- E above lowest polymorph (meV per atom) = 0



VASP calculation (PBE) on a relaxed structure of BiBrNO2.

Cell and atoms, written as POSCAR:
```
BiBrNO2
1.0
4.2199 0.0000 0.0000
0.0000 4.2199 0.0000
0.0000 0.0000 4.7359
Bi Br N O
1 1 1 2
Direct
0.0000 0.0000 0.0000
0.5000 0.5000 0.5000
0.0000 0.0000 0.5000
0.0000 0.5000 0.0000
0.5000 0.0000 0.0000
```

- M_tot (μB per atom) = 0.444
- formation energy from raw total energies (meV/atom) = 769
- symmetry = No. 123



VASP calculation (PBE) on a relaxed structure of BiBrNO2.

Cell and atoms, written as POSCAR:
```
BiBrNO2
1.0
4.0156 0.0000 0.0000
0.0000 4.0156 0.0000
0.0000 0.0000 4.3161
Bi Br N O
1 1 1 2
Direct
0.0000 0.0000 0.0000
0.5000 0.5000 0.5000
0.5000 0.5000 0.0000
0.0000 0.5000 0.5000
0.5000 0.0000 0.5000
```

- M_tot (μB per atom) = 0.000
- formation energy from raw total energies (meV/atom) = 797
- symmetry = No. 123



VASP calculation (PBE) on a relaxed structure of BiBrN2O.

Cell and atoms, written as POSCAR:
```
BiBrN2O
1.0
4.6751 0.0000 0.0000
0.0000 4.6751 0.0000
0.0000 0.0000 4.1824
Bi Br N O
1 1 2 1
Direct
0.0000 0.0000 0.0000
0.5000 0.5000 0.5000
0.0000 0.5000 0.0000
0.5000 0.0000 0.0000
0.0000 0.0000 0.5000
```

- M_tot (μB per atom) = 0.711
- formation energy from raw total energies (meV/atom) = 1480
- symmetry = No. 123



VASP calculation (PBE) on a relaxed structure of BiBrN2O.

Cell and atoms, written as POSCAR:
```
BiBrN2O
1.0
4.0878 0.0000 0.0000
0.0000 4.0878 0.0000
0.0000 0.0000 3.9955
Bi Br N O
1 1 2 1
Direct
0.0000 0.0000 0.0000
0.5000 0.5000 0.5000
0.0000 0.5000 0.5000
0.5000 0.0000 0.5000
0.5000 0.5000 0.0000
```

- M_tot (μB per atom) = 0.000
- formation energy from raw total energies (meV/atom) = 1461
- symmetry = No. 123



VASP calculation (PBE) on a relaxed structure of Rb2BiBr6N.

Cell and atoms, written as POSCAR:
```
Rb2BiBr6N
1.0
-3.7727 3.7727 6.0983
3.7727 -3.7727 6.0983
3.7727 3.7727 -6.0983
Rb Bi Br N
2 1 6 1
Direct
0.2500 0.7500 0.5000
0.7500 0.2500 0.5000
0.0000 0.0000 0.0000
0.2343 0.2343 0.0000
0.2664 0.2664 0.5329
0.2664 0.7336 0.0000
0.7336 0.2664 0.0000
0.7336 0.7336 0.4671
0.7657 0.7657 0.0000
0.5000 0.5000 0.0000
```

- M_tot (μB per atom) = 0.200
- formation energy from raw total energies (meV/atom) = -508
- symmetry = No. 139



VASP calculation (PBE) on a relaxed structure of BiRh2BrN.

Cell and atoms, written as POSCAR:
```
BiRh2BrN
1.0
4.1136 0.0000 0.0000
0.0000 4.1136 0.0000
0.0000 0.0000 5.3908
Bi Rh Br N
1 2 1 1
Direct
0.0000 0.0000 0.0000
0.0000 0.5000 0.5000
0.5000 0.0000 0.5000
0.5000 0.5000 0.0000
0.0000 0.0000 0.5000
```

- M_tot (μB per atom) = 0.000
- formation energy from raw total energies (meV/atom) = 530
- symmetry = No. 123



VASP calculation (PBE) on a relaxed structure of BiSBrN2.

Cell and atoms, written as POSCAR:
```
BiSBrN2
1.0
4.1347 0.0000 0.0000
0.0000 4.1347 0.0000
0.0000 0.0000 4.8757
Bi S Br N
1 1 1 2
Direct
0.0000 0.0000 0.0000
0.5000 0.5000 0.0000
0.5000 0.5000 0.5000
0.0000 0.5000 0.5000
0.5000 0.0000 0.5000
```

- M_tot (μB per atom) = 0.055
- formation energy from raw total energies (meV/atom) = 1821
- symmetry = No. 123
- E above lowest polymorph (meV per atom) = 131



VASP calculation (PBE) on a relaxed structure of BiSBrN2.

Cell and atoms, written as POSCAR:
```
BiSBrN2
1.0
4.4492 0.0000 0.0000
0.0000 4.4492 0.0000
0.0000 0.0000 5.7108
Bi S Br N
1 1 1 2
Direct
0.0000 0.0000 0.0000
0.0000 0.0000 0.5000
0.5000 0.5000 0.5000
0.0000 0.5000 0.0000
0.5000 0.0000 0.0000
```

- M_tot (μB per atom) = 0.624
- formation energy from raw total energies (meV/atom) = 1690
- symmetry = No. 123
- E above lowest polymorph (meV per atom) = 0